Entry from the Alexandria database: a relaxed structure of Tb2PuOs (PBE).

## Properties
For the energy above the lowest structure with this stoichiometry, the calculation gives 49.5 kJ per mole of atoms. The calculation puts the formation enthalpy at 0 K at 0.374 eV/atom. The calculation puts the electronic total energy at -8.33 eV per atom.

Cell and atoms, written as CIF:
```
data_Tb2PuOs
_space_group_name_H-M_alt 'R -3 m'
_space_group_IT_number 166
_space_group_name_Hall '-R 3 2"'
_cell_length_a 3.3666
_cell_length_b 3.3666
_cell_length_c 32.5167
_cell_angle_alpha 90.00
_cell_angle_beta 90.00
_cell_angle_gamma 120.00
loop_
_atom_site_label
_atom_site_type_symbol
_atom_site_fract_x
_atom_site_fract_y
_atom_site_fract_z
Tb1 Tb 0.0000 0.0000 0.1030
Pu1 Pu 0.0000 0.0000 0.0000
Os1 Os 0.0000 0.0000 0.5000
```

***

Entry from the Alexandria database: a relaxed structure of Tb2PuOs (PBE).

## Properties
For the energy above the lowest structure with this stoichiometry, the calculation gives 11.9 kJ per mole of atoms. The calculation puts the formation enthalpy at 0 K at -0.015 eV/atom. The calculation puts the electronic total energy at -8.72 eV per atom.

Cell and atoms, written as CIF:
```
data_Tb2PuOs
_space_group_name_H-M_alt 'P 4/m m m'
_space_group_IT_number 123
_space_group_name_Hall '-P 4 2'
_cell_length_a 3.4068
_cell_length_b 3.4068
_cell_length_c 8.8725
_cell_angle_alpha 90.00
_cell_angle_beta 90.00
_cell_angle_gamma 90.00
loop_
_atom_site_label
_atom_site_type_symbol
_atom_site_fract_x
_atom_site_fract_y
_atom_site_fract_z
Tb1 Tb 0.0000 0.0000 0.1891
Pu1 Pu 0.5000 0.5000 0.5000
Os1 Os 0.5000 0.5000 0.0000
```

***

Entry from the Alexandria database: a relaxed structure of TbPu2Os (PBE).

## Properties
For the energy above the lowest structure with this stoichiometry, the calculation gives 23.4 kJ per mole of atoms. The calculation puts the formation enthalpy at 0 K at 0.194 eV/atom. The calculation puts the electronic total energy at -10.94 eV per atom.

Cell and atoms, written as CIF:
```
data_TbPu2Os
_space_group_name_H-M_alt 'R -3 m'
_space_group_IT_number 166
_space_group_name_Hall '-R 3 2"'
_cell_length_a 4.7802
_cell_length_b 4.7802
_cell_length_c 13.9965
_cell_angle_alpha 90.00
_cell_angle_beta 90.00
_cell_angle_gamma 120.00
loop_
_atom_site_label
_atom_site_type_symbol
_atom_site_fract_x
_atom_site_fract_y
_atom_site_fract_z
Tb1 Tb 0.0000 0.0000 0.0000
Pu1 Pu 0.0000 0.0000 0.2342
Os1 Os 0.0000 0.0000 0.5000
```

***

Entry from the Alexandria database: a relaxed structure of TbPu2Os (PBE).

## Properties
For the energy above the lowest structure with this stoichiometry, the calculation gives 14.1 kJ per mole of atoms. The calculation puts the formation enthalpy at 0 K at 0.098 eV/atom. The calculation puts the electronic total energy at -11.03 eV per atom.

Cell and atoms, written as CIF:
```
data_TbPu2Os
_space_group_name_H-M_alt 'P 4/m m m'
_space_group_IT_number 123
_space_group_name_Hall '-P 4 2'
_cell_length_a 3.4933
_cell_length_b 3.4933
_cell_length_c 7.9665
_cell_angle_alpha 90.00
_cell_angle_beta 90.00
_cell_angle_gamma 90.00
loop_
_atom_site_label
_atom_site_type_symbol
_atom_site_fract_x
_atom_site_fract_y
_atom_site_fract_z
Tb1 Tb 0.0000 0.0000 0.0000
Pu1 Pu 0.5000 0.5000 0.3034
Os1 Os 0.0000 0.0000 0.5000
```

***

Entry from the Alexandria database: a relaxed structure of Pu2TcOs (PBE).

## Properties
The calculation puts the formation enthalpy at 0 K at 0.058 eV/atom. The calculation puts the electronic total energy at -12.51 eV per atom.

Cell and atoms, written as CIF:
```
data_Pu2TcOs
_space_group_name_H-M_alt 'P 4/m m m'
_space_group_IT_number 123
_space_group_name_Hall '-P 4 2'
_cell_length_a 4.6884
_cell_length_b 4.6884
_cell_length_c 3.5028
_cell_angle_alpha 90.00
_cell_angle_beta 90.00
_cell_angle_gamma 90.00
loop_
_atom_site_label
_atom_site_type_symbol
_atom_site_fract_x
_atom_site_fract_y
_atom_site_fract_z
Pu1 Pu 0.0000 0.5000 0.0000
Tc1 Tc 0.0000 0.0000 0.5000
Os1 Os 0.5000 0.5000 0.5000
```

***

Entry from the Alexandria database: a relaxed structure of PuTc2Os (PBE).

## Properties
For the energy above the lowest structure with this stoichiometry, the calculation gives 27.2 kJ per mole of atoms. The calculation puts the formation enthalpy at 0 K at 0.445 eV/atom. The calculation puts the electronic total energy at -11.13 eV per atom.

Cell and atoms, written as CIF:
```
data_PuTc2Os
_space_group_name_H-M_alt 'R -3 m'
_space_group_IT_number 166
_space_group_name_Hall '-R 3 2"'
_cell_length_a 2.7978
_cell_length_b 2.7978
_cell_length_c 29.2551
_cell_angle_alpha 90.00
_cell_angle_beta 90.00
_cell_angle_gamma 120.00
loop_
_atom_site_label
_atom_site_type_symbol
_atom_site_fract_x
_atom_site_fract_y
_atom_site_fract_z
Pu1 Pu 0.0000 0.0000 0.0000
Tc1 Tc 0.0000 0.0000 0.0929
Os1 Os 0.0000 0.0000 0.5000
```

***

Entry from the Alexandria database: a relaxed structure of PuTc2Os (PBE).

## Properties
For the energy above the lowest structure with this stoichiometry, the calculation gives 0.0 kJ per mole of atoms. The calculation puts the formation enthalpy at 0 K at 0.163 eV/atom. The calculation puts the electronic total energy at -11.41 eV per atom.

Cell and atoms, written as CIF:
```
data_PuTc2Os
_space_group_name_H-M_alt 'P n m a'
_space_group_IT_number 62
_space_group_name_Hall '-P 2ac 2n'
_cell_length_a 6.8083
_cell_length_b 4.3397
_cell_length_c 9.3171
_cell_angle_alpha 90.00
_cell_angle_beta 90.00
_cell_angle_gamma 90.00
loop_
_atom_site_label
_atom_site_type_symbol
_atom_site_fract_x
_atom_site_fract_y
_atom_site_fract_z
Pu1 Pu 0.1886 0.2500 0.1885
Tc1 Tc 0.1166 0.2500 0.8051
Tc2 Tc 0.1622 0.7500 0.9981
Os1 Os 0.0482 0.7500 0.4394
```

***

Entry from the Alexandria database: a relaxed structure of Pu6Tc2Os (PBE).

## Properties
The calculation puts the formation enthalpy at 0 K at 0.184 eV/atom. The calculation puts the electronic total energy at -12.92 eV per atom.

Cell and atoms, written as CIF:
```
data_Pu6Tc2Os
_space_group_name_H-M_alt 'P -3 1 m'
_space_group_IT_number 162
_space_group_name_Hall '-P 3 2'
_cell_length_a 7.5975
_cell_length_b 7.5975
_cell_length_c 2.9540
_cell_angle_alpha 90.00
_cell_angle_beta 90.00
_cell_angle_gamma 120.00
loop_
_atom_site_label
_atom_site_type_symbol
_atom_site_fract_x
_atom_site_fract_y
_atom_site_fract_z
Pu1 Pu 0.0000 0.3384 0.0865
Tc1 Tc 0.3333 0.6667 0.5000
Os1 Os 0.0000 0.0000 0.5000
```

***

Entry from the Alexandria database: a relaxed structure of Pu3TcOs (PBE).

## Properties
The calculation puts the formation enthalpy at 0 K at 0.181 eV/atom. The calculation puts the electronic total energy at -12.74 eV per atom.

Cell and atoms, written as CIF:
```
data_Pu3TcOs
_space_group_name_H-M_alt 'C 1 2/c 1'
_space_group_IT_number 15
_space_group_name_Hall '-C 2yc'
_cell_length_a 10.5069
_cell_length_b 5.9078
_cell_length_c 12.8726
_cell_angle_alpha 90.00
_cell_angle_beta 90.47
_cell_angle_gamma 90.00
loop_
_atom_site_label
_atom_site_type_symbol
_atom_site_fract_x
_atom_site_fract_y
_atom_site_fract_z
Pu1 Pu 0.0404 0.0343 0.1133
Pu2 Pu 0.1819 0.2554 0.3958
Pu3 Pu 0.2004 0.2437 0.7913
Tc1 Tc 0.0813 0.4475 0.5699
Os1 Os 0.0000 0.4458 0.2500
Os2 Os 0.2500 0.2500 0.0000
```

***

Entry from the Alexandria database: a relaxed structure of Pu8TcOs2 (PBE).

## Properties
The calculation puts the formation enthalpy at 0 K at 0.066 eV/atom. The calculation puts the electronic total energy at -13.34 eV per atom.

Cell and atoms, written as CIF:
```
data_Pu8TcOs2
_space_group_name_H-M_alt 'I m m m'
_space_group_IT_number 71
_space_group_name_Hall '-I 2 2'
_cell_length_a 5.1531
_cell_length_b 6.5421
_cell_length_c 13.5437
_cell_angle_alpha 90.00
_cell_angle_beta 90.00
_cell_angle_gamma 90.00
loop_
_atom_site_label
_atom_site_type_symbol
_atom_site_fract_x
_atom_site_fract_y
_atom_site_fract_z
Pu1 Pu 0.0000 0.0000 0.1552
Pu2 Pu 0.0000 0.2292 0.3487
Pu3 Pu 0.0000 0.2671 0.0000
Tc1 Tc 0.0000 0.5000 0.5000
Os1 Os 0.0000 0.5000 0.1857
```